VASP calculation (GGA-PBE) on a geometry-optimized Y5Zn4Ag structure.

Properties
Fermi-level density of states (states/eV/f.u.): 10.493
ΔE_f (meV/atom): -356
Density (Mg/m³): 5.83
VASP energy (eV per cell): -43.8

Lattice parameters (Å, degrees): 3.5956 3.5956 17.9276 90.00 90.00 90.00
Positions (direct):
Zn: 0.0000 0.0000 0.4005
Zn: 0.0000 0.0000 0.2040
Zn: 0.0000 0.0000 0.5995
Zn: 0.0000 0.0000 0.7960
Y: 0.5000 0.5000 0.3018
Y: 0.5000 0.5000 0.8956
Y: 0.5000 0.5000 0.1044
Y: 0.5000 0.5000 0.6982
Y: 0.5000 0.5000 0.5000
Ag: 0.0000 0.0000 0.0000